[1]
NaI2O PBE relaxed; space group = I-42d, No. 122; N(E_F) = 0.019 states/eV per atom; ρ = 3.505 g/cm³; total magnetization = 0.00 μB per atom; final energy = -20.631 eV for the cell shown
1.0
-1.9613 -6.1754 0.4948
1.7121 -0.0415 6.2685
-6.1450 -1.0635 5.0395
I Na O
4 2 2
Direct
0.4772 0.1250 0.2500
0.2728 0.6250 0.2500
0.3750 0.5228 0.7500
0.8750 0.7272 0.7500
0.0000 0.0000 0.0000
0.7500 0.2500 0.5000
0.5000 0.5000 0.0000
0.2500 0.7500 0.5000

---

[2]
KRbTl PBE relaxed; space group = Immm, No. 71; N(E_F) = 0.803 states/eV per atom; ρ = 2.928 g/cm³; total magnetization = 0.00 μB per atom; formation energy = 0.02 eV/atom
1.0
-4.3805 -1.1567 -4.0637
3.8869 -3.1611 -3.2902
-2.2878 -6.3105 8.8199
Rb Tl K
2 2 2
Direct
0.6008 0.1008 0.2017
0.3992 0.8992 0.7983
0.7527 0.5000 0.0000
0.2473 0.5000 0.0000
0.1731 0.6731 0.3462
0.8269 0.3269 0.6538

---

[3]
TlCoTc2 PBE relaxed; space group = Cm, No. 8; N(E_F) = 1.158 states/eV per atom; ρ = 12.034 g/cm³; total magnetization = 0.27 μB per atom; formation energy = 0.54 eV/atom
1.0
4.7059 0.0066 -0.0128
3.7675 2.8199 -0.0128
1.0194 0.3400 4.7819
Co Tc Tl
1 2 1
Direct
0.7386 0.7386 0.7720
0.0025 0.0025 0.0222
0.2626 0.2626 0.1820
0.4963 0.4963 0.5237

---

[4]
Co2SiPb PBE relaxed; space group = Pm, No. 6; N(E_F) = 1.133 states/eV per atom; ρ = 9.416 g/cm³; total magnetization = 0.15 μB per atom; final energy = -22.073 eV for the cell shown
1.0
-2.4823 3.4330 -0.8578
-2.1493 -1.0675 1.9474
0.9039 1.7792 4.5053
Co Pb Si
2 1 1
Direct
0.0000 0.8263 0.9684
0.5000 0.2074 0.1991
0.0000 0.5718 0.4984
0.5000 0.8945 0.8341

---

[5]
AcPrMgSi PBE relaxed; space group = F-43m, No. 216; N(E_F) = 0.940 states/eV per atom; ρ = 6.115 g/cm³; total magnetization = 0.00 μB per atom; final energy = -16.693 eV for the cell shown
1.0
-3.8242 3.8286 0.6013
-4.5723 -1.1250 2.7336
-0.8694 2.2353 4.8879
Pr Ac Mg Si
1 1 1 1
Direct
0.2500 0.2500 0.2500
0.7500 0.7500 0.7500
0.0000 0.0000 0.0000
0.5000 0.5000 0.5000

---

[6]
Sr2LaAgAu PBE relaxed; space group = P4/mmm, No. 123; N(E_F) = 0.618 states/eV per atom; ρ = 5.000 g/cm³; total magnetization = 0.00 μB per atom; formation energy = 0.09 eV/atom
1.0
-0.8358 5.0926 -3.0501
1.8953 -2.5408 -4.7616
-5.5940 -1.7064 -1.3161
Sr Au Ag La
2 1 1 1
Direct
0.0000 0.0000 0.5000
0.5000 0.0000 0.0000
0.5000 0.5000 0.5000
0.0000 0.0000 0.0000
0.0000 0.5000 0.0000

---

[7]
TcBiC3 PBE relaxed; space group = Pm-3m, No. 221; N(E_F) = 0.561 states/eV per atom; ρ = 8.288 g/cm³; total magnetization = 0.00 μB per atom; formation energy = 1.82 eV/atom
1.0
4.0962 0.0000 0.0000
0.0000 4.0962 0.0000
0.0000 0.0000 4.0962
C Bi Tc
3 1 1
Direct
0.0000 0.5000 0.0000
0.0000 0.0000 0.5000
0.5000 0.0000 0.0000
0.5000 0.5000 0.5000
0.0000 0.0000 0.0000

---

[8]
Cd7Hg2Pb2 PBE relaxed; space group = C2/m, No. 12; N(E_F) = 0.265 states/eV per atom; ρ = 9.496 g/cm³; total magnetization = 0.00 μB per atom; formation energy = 0.03 eV/atom
1.0
5.4273 1.1344 1.2969
0.9459 7.3654 0.7327
0.9459 -0.2536 7.3974
Cd Hg Pb
7 2 2
Direct
0.6894 0.0624 0.5816
0.3106 0.4184 0.9376
0.3106 0.9376 0.4184
0.6894 0.5816 0.0624
0.5000 0.0000 0.0000
0.1095 0.6087 0.6087
0.8905 0.3913 0.3913
0.4745 0.2941 0.2941
0.5255 0.7059 0.7059
0.0000 0.1658 0.8342
0.0000 0.8342 0.1658